A relaxed Ca3PmU2P6 crystal. Source: Alexandria, functional PBE.

Properties
* spin magnetization: 2.99 μB/f.u.
* ΔE_f: -111.79 kJ/mol of atoms

abc: 7.057 7.057 7.050
angles: 99.62 99.62 119.98
Site moments in Bohr magnetons follow the coordinates.
Element x y z (fractional)
U 0.333 0.667 0.000  1.56
P 0.575 0.923 0.771  -0.05
Ca 0.500 0.500 0.500  0.00
Pm 0.000 0.000 0.000  0.03
Ca 0.836 0.164 0.500  0.00
U 0.667 0.333 0.000  1.56
P 0.077 0.425 0.229  -0.05
Ca 0.164 0.836 0.500  0.00
P 0.271 0.271 0.770  -0.05
P 0.923 0.575 0.771  -0.05
P 0.729 0.729 0.230  -0.05
P 0.425 0.077 0.229  -0.05